DFT (GGA-PBE) results for a relaxed ReIO2F crystal.

## Properties
- Raw total energy: -5.73 eV/atom

abc: 3.846 3.846 5.039
angles: 90.00 90.00 90.00
Space group P4/mmm (No. 123)
Unique sites:
1 Re 0.000 0.000 0.000 (multiplicity 1)
2 I 0.500 0.500 0.500 (multiplicity 1)
3 O 0.000 0.500 0.000 (multiplicity 2)
4 F 0.000 0.000 0.500 (multiplicity 1)



DFT (GGA-PBE) results for a relaxed RhIO2F crystal.

## Properties
- Raw total energy: -3.07 eV/atom

abc: 4.276 4.276 4.271
angles: 90.00 90.00 90.00
Space group P4/mmm (No. 123)
Unique sites:
1 Rh 0.000 0.000 0.000 (multiplicity 1)
2 I 0.500 0.500 0.000 (multiplicity 1)
3 O 0.000 0.500 0.500 (multiplicity 2)
4 F 0.500 0.500 0.500 (multiplicity 1)



DFT (GGA-PBE) results for a relaxed RhIO2F crystal.

## Properties
- Raw total energy: -4.28 eV/atom

abc: 4.067 4.067 4.182
angles: 90.00 90.00 90.00
Space group P4/mmm (No. 123)
Unique sites:
1 Rh 0.000 0.000 0.000 (multiplicity 1)
2 I 0.500 0.500 0.500 (multiplicity 1)
3 O 0.000 0.500 0.000 (multiplicity 2)
4 F 0.000 0.000 0.500 (multiplicity 1)



DFT (GGA-PBE) results for a relaxed RhIO2F crystal.

## Properties
- Raw total energy: -4.38 eV/atom

abc: 3.785 3.785 5.807
angles: 90.00 90.00 90.00
Space group P4/mmm (No. 123)
Unique sites:
1 Rh 0.000 0.000 0.000 (multiplicity 1)
2 I 0.000 0.000 0.500 (multiplicity 1)
3 O 0.000 0.500 0.000 (multiplicity 2)
4 F 0.500 0.500 0.500 (multiplicity 1)



DFT (GGA-PBE) results for a relaxed RhI2OF crystal.

## Properties
- Energy above the lowest structure with this stoichiometry: 1022 meV/atom

abc: 5.126 5.126 3.615
angles: 90.00 90.00 90.00
Space group P4/mmm (No. 123)
Unique sites:
1 Rh 0.000 0.000 0.000 (multiplicity 1)
2 I 0.000 0.500 0.500 (multiplicity 2)
3 O 0.500 0.500 0.000 (multiplicity 1)
4 F 0.500 0.500 0.500 (multiplicity 1)



DFT (GGA-PBE) results for a relaxed RhI2OF crystal.

## Properties
- Energy above the lowest structure with this stoichiometry: 0 meV/atom

abc: 5.532 5.532 3.680
angles: 90.00 90.00 90.00
Space group P4/mmm (No. 123)
Unique sites:
1 Rh 0.000 0.000 0.000 (multiplicity 1)
2 I 0.000 0.500 0.000 (multiplicity 2)
3 O 0.000 0.000 0.500 (multiplicity 1)
4 F 0.500 0.500 0.500 (multiplicity 1)



DFT (GGA-PBE) results for a relaxed RhIO2F crystal.

## Properties
- Raw total energy: -3.80 eV/atom

abc: 4.016 4.016 5.447
angles: 90.00 90.00 90.00
Space group P4/mmm (No. 123)
Unique sites:
1 Rh 0.000 0.000 0.000 (multiplicity 1)
2 I 0.500 0.500 0.500 (multiplicity 1)
3 O 0.000 0.500 0.500 (multiplicity 2)
4 F 0.500 0.500 0.000 (multiplicity 1)



DFT (GGA-PBE) results for a relaxed RuIO2F crystal.

## Properties
- Raw total energy: -3.97 eV/atom

abc: 4.013 4.013 5.607
angles: 90.00 90.00 90.00
Space group P4/mmm (No. 123)
Unique sites:
1 Ru 0.000 0.000 0.000 (multiplicity 1)
2 I 0.500 0.500 0.500 (multiplicity 1)
3 O 0.000 0.500 0.500 (multiplicity 2)
4 F 0.500 0.500 0.000 (multiplicity 1)